1.
Entry from Alexandria via LeMat-Bulk: a geometry-optimized Ba2Mg3AgBi4 structure (PBE-GGA).

The space-group type is No. 115. The formation energy comes out at -474 meV per atom.

a = 5.366 Å, b = 5.366 Å, c = 11.213 Å
α = 90.00°, β = 90.00°, γ = 90.00°
Element x y z (fractional)
Ba 0.000 0.500 0.249
Ba 0.500 0.000 0.751
Mg 0.000 0.000 0.000
Mg 0.000 0.500 0.617
Mg 0.500 0.000 0.383
Ag 0.500 0.500 0.000
Bi 0.000 0.000 0.500
Bi 0.000 0.500 0.875
Bi 0.500 0.000 0.125
Bi 0.500 0.500 0.500

=====

2.
Entry from Alexandria via LeMat-Bulk: a geometry-optimized Mn2ReSb structure (PBE-GGA).

The value obtained for the formation energy from raw total energies is 0.256 eV per atom. The space-group type is No. 216.

a = 6.166 Å, b = 6.166 Å, c = 6.166 Å
α = 90.00°, β = 90.00°, γ = 90.00°
Element x y z (fractional)
Mn 0.000 0.000 0.000
Mn 0.000 0.500 0.500
Mn 0.250 0.250 0.250
Mn 0.250 0.750 0.750
Mn 0.500 0.000 0.500
Mn 0.500 0.500 0.000
Mn 0.750 0.250 0.750
Mn 0.750 0.750 0.250
Re 0.000 0.000 0.500
Re 0.000 0.500 0.000
Re 0.500 0.000 0.000
Re 0.500 0.500 0.500
Sb 0.250 0.250 0.750
Sb 0.250 0.750 0.250
Sb 0.750 0.250 0.250
Sb 0.750 0.750 0.750

=====

3.
Entry from Alexandria via LeMat-Bulk: a geometry-optimized AlCuAs2 structure (PBE-GGA).

The space-group type is No. 123. The formation energy comes out at 213 meV per atom.

a = 3.076 Å, b = 3.076 Å, c = 7.044 Å
α = 90.00°, β = 90.00°, γ = 90.00°
Element x y z (fractional)
Al 0.000 0.000 0.000
Cu 0.000 0.000 0.500
As 0.500 0.500 0.263
As 0.500 0.500 0.737

=====

4.
Entry from Alexandria via LeMat-Bulk: a geometry-optimized Ag3Sn2Au7 structure (PBE-GGA).

The space-group type is No. 10. The formation energy comes out at -16 meV per atom.

a = 4.029 Å, b = 4.177 Å, c = 14.704 Å
α = 90.00°, β = 97.72°, γ = 90.00°
Element x y z (fractional)
Ag 0.000 0.000 0.000
Ag 0.214 0.500 0.428
Ag 0.786 0.500 0.572
Sn 0.139 0.000 0.286
Sn 0.861 0.000 0.714
Au 0.075 0.500 0.153
Au 0.290 0.000 0.576
Au 0.429 0.000 0.856
Au 0.500 0.500 0.000
Au 0.571 0.000 0.144
Au 0.710 0.000 0.424
Au 0.925 0.500 0.847

=====

Record order is preserved below.
M_tot: 0.00; 8.08; 0.00; 0.00 μB/cell